Entry 1:
Compound: HgTe2SN
Source: the Alexandria database
Functional: PBE
Structure: optimized geometry

Calculated values
**SG**: P4/mmm (123)
**Energy relative to the elements, uncorrected**: 1.454 eV/atom
**Total energy**: -2.353 eV per atom

a = 5.7535 Å, b = 5.7535 Å, c = 4.0269 Å
α = 90.00°, β = 90.00°, γ = 90.00°
Site moments in Bohr magnetons follow the coordinates.
Positions (direct):
Hg 0.0000 0.0000 0.0000  0.06
Te 0.0000 0.5000 0.0000  0.08
Te 0.5000 0.0000 0.0000  0.08
S 0.5000 0.5000 0.5000  -0.04
N 0.0000 0.0000 0.5000  0.94

***

Entry 2:
Compound: HgTeS2N
Source: the Alexandria database
Functional: PBE
Structure: optimized geometry

Calculated values
**SG**: P4/mmm (123)
**Energy relative to the elements, uncorrected**: 1.423 eV/atom
**Total energy**: -2.582 eV per atom

a = 5.1104 Å, b = 5.1104 Å, c = 4.0682 Å
α = 90.00°, β = 90.00°, γ = 90.00°
Positions (direct):
S 0.5000 0.0000 0.0000
S 0.0000 0.5000 0.0000
Te 0.5000 0.5000 0.5000
N 0.0000 0.0000 0.5000
Hg 0.0000 0.0000 0.0000

***

Entry 3:
Compound: HgTe2SN
Source: the Alexandria database
Functional: PBE
Structure: optimized geometry

Calculated values
**SG**: P4/mmm (123)
**Energy relative to the elements, uncorrected**: 0.754 eV/atom
**Total energy**: -3.053 eV per atom

a = 6.0901 Å, b = 6.0901 Å, c = 3.2588 Å
α = 90.00°, β = 90.00°, γ = 90.00°
Positions (direct):
Te 0.0000 0.5000 0.0000
Te 0.5000 0.0000 0.0000
N 0.0000 0.0000 0.5000
S 0.0000 0.0000 0.0000
Hg 0.5000 0.5000 0.5000

***

Entry 4:
Compound: HgTeS2N
Source: the Alexandria database
Functional: PBE
Structure: optimized geometry

Calculated values
**SG**: P4/mmm (123)
**Energy relative to the elements, uncorrected**: 0.921 eV/atom
**Total energy**: -3.084 eV per atom

a = 5.1687 Å, b = 5.1687 Å, c = 3.9307 Å
α = 90.00°, β = 90.00°, γ = 90.00°
Positions (direct):
S 0.0000 0.5000 0.0000
S 0.5000 0.0000 0.0000
Hg 0.5000 0.5000 0.5000
N 0.0000 0.0000 0.5000
Te 0.0000 0.0000 0.0000

***

Entry 5:
Compound: TiHg2SN
Source: the Alexandria database
Functional: PBE
Structure: optimized geometry

Calculated values
**SG**: P4/mmm (123)
**Energy relative to the elements, uncorrected**: 0.272 eV/atom
**Total energy**: -3.919 eV per atom

a = 4.9208 Å, b = 3.9226 Å, c = 4.9208 Å
α = 90.00°, β = 90.00°, γ = 90.00°
Positions (direct):
S 0.5000 0.5000 0.5000
Ti 0.0000 0.5000 0.0000
Hg 0.5000 0.0000 0.0000
Hg 0.0000 0.0000 0.5000
N 0.0000 0.0000 0.0000

***

Entry 6:
Compound: TiHgSN2
Source: the Alexandria database
Functional: PBE
Structure: optimized geometry

Calculated values
**SG**: P4/mmm (123)
**Energy relative to the elements, uncorrected**: 1.689 eV/atom
**Total energy**: -4.106 eV per atom

a = 4.1232 Å, b = 4.1232 Å, c = 5.2140 Å
α = 90.00°, β = 90.00°, γ = 90.00°
Site moments in Bohr magnetons follow the coordinates.
Positions (direct):
Ti 0.5000 0.5000 0.5000  -1.56
N 0.0000 0.5000 0.0000  0.77
N 0.5000 0.0000 0.0000  0.77
S 0.0000 0.0000 0.5000  0.13
Hg 0.0000 0.0000 0.0000  0.06